Entry from Alexandria via LeMat-Bulk: a relaxed Cd3GaAu5 crystal (PBE-GGA).

Results
calculated volume: 20.6 A^3/atom
total moment: 0.00 μB per formula unit
raw total energy: -44.554 eV for the cell shown
SG: I4/mcm, No. 140

Unit cell a=8.1242 b=8.1242 c=8.1242 alpha=121.26 beta=121.26 gamma=87.84
Element x y z (fractional)
Cd1 0.1202 0.6202 0.7405
Cd2 0.2500 0.2500 0.0000
Cd3 0.3798 0.1202 0.5000
Cd4 0.6202 0.8798 0.5000
Cd5 0.7500 0.7500 0.0000
Cd6 0.8798 0.3798 0.2595
Ga1 0.2500 0.7500 0.5000
Ga2 0.7500 0.2500 0.5000
Au1 0.0000 0.0000 0.0000
Au2 0.0490 0.1673 0.5000
Au3 0.1673 0.6673 0.1183
Au4 0.3327 0.4510 0.5000
Au5 0.4510 0.9510 0.1183
Au6 0.5000 0.5000 0.0000
Au7 0.5490 0.0490 0.8817
Au8 0.6673 0.5490 0.5000
Au9 0.8327 0.3327 0.8817
Au10 0.9510 0.8327 0.5000


Entry from Alexandria via LeMat-Bulk: a relaxed RbPm2Hg2O6 crystal (PBE-GGA).

Results
calculated volume: 23.1 A^3/atom
formation energy (no corrections): -19.5 eV per formula unit
total moment: 1.02 μB per formula unit
SG: P-1, No. 2

Unit cell a=6.7442 b=6.7507 c=7.2425 alpha=94.51 beta=111.09 gamma=119.62
Element x y z (fractional)
Rb1 0.0000 0.0000 0.0000
Pm1 0.3420 0.6717 0.0150
Pm2 0.6580 0.3283 0.9850
Hg1 0.1986 0.7861 0.4948
Hg2 0.8014 0.2139 0.5052
O1 0.0987 0.6600 0.1935
O2 0.3064 0.9195 0.7964
O3 0.4962 0.4567 0.1559
O4 0.5038 0.5433 0.8441
O5 0.6936 0.0805 0.2036
O6 0.9013 0.3400 0.8065


Entry from Alexandria via LeMat-Bulk: a relaxed MnCuGeAu crystal (PBE-GGA).

Results
calculated volume: 15.2 A^3/atom
total moment: 3.07 μB per formula unit
offset from the most stable computed form: 0 meV per atom
SG: Amm2, No. 38

Unit cell a=3.8876 b=5.6675 c=5.6675 alpha=29.13 beta=90.00 gamma=90.00
Element x y z (fractional)
Mn1 0.0000 0.0000 0.0000
Cu1 0.5000 0.6353 0.6353
Ge1 0.5000 0.4113 0.4113
Au1 0.0000 0.2481 0.2481


Entry from Alexandria via LeMat-Bulk: a relaxed Sr2MgSc crystal (PBE-GGA).

Results
calculated volume: 36.1 A^3/atom
total moment: 0.00 μB per formula unit
raw total energy: -10.490 eV for the cell shown
SG: Pmmm, No. 47

Unit cell a=4.2402 b=4.2546 c=8.0114 alpha=90.00 beta=90.00 gamma=90.00
Element x y z (fractional)
Sr1 0.0000 0.0000 0.2488
Sr2 0.0000 0.0000 0.7512
Mg1 0.5000 0.5000 0.0000
Sc1 0.5000 0.5000 0.5000